Material: HoCr3B4O12
Method: DFT, PBE+U
State: relaxed

Output
**Space-group type**: R32, No. 155
**Energy**: -161.9 eV/cell
**Total magnetization**: 0.4499 μB/atom
**Calculated volume**: 201.3 Å³/cell
**N(E_F)**: 0.00 states/eV per cell

CIF file:
```
data_HoCr3B4O12
_space_group_name_H-M_alt 'P 1'
_space_group_IT_number 1
_cell_length_a 6.0808
_cell_length_b 6.0808
_cell_length_c 6.0808
_cell_angle_alpha 103.83
_cell_angle_beta 103.83
_cell_angle_gamma 103.83
loop_
_space_group_symop_operation_xyz
'x,y,z'
loop_
_atom_site_label
_atom_site_fract_x
_atom_site_fract_y
_atom_site_fract_z
O1 0.2058 0.3647 0.9686
O2 0.0314 0.6353 0.7942
O3 0.7942 0.0314 0.6353
O4 0.3556 0.6444 0.5000
Cr1 0.4468 0.0000 0.5532
B1 0.5000 0.9457 0.0543
Cr2 0.5532 0.4468 0.0000
O5 0.0907 0.9093 0.5000
Cr3 0.0000 0.5532 0.4468
Ho1 0.0000 0.0000 0.0000
O6 0.9093 0.5000 0.0907
B2 0.5000 0.5000 0.5000
O7 0.5000 0.3556 0.6444
O8 0.6353 0.7942 0.0314
B3 0.9457 0.0543 0.5000
O9 0.9686 0.2058 0.3647
O10 0.5000 0.0907 0.9093
O11 0.6444 0.5000 0.3556
B4 0.0543 0.5000 0.9457
O12 0.3647 0.9686 0.2058
```